# 1
The following is a DFT calculation (GGA-PBE) of crystalline ZrTlV2W at its relaxed geometry.

a b c (Å): 4.488 5.326 4.488
angles (deg): 90.00 90.00 90.00
Positions (direct):
Tl: 0.000 0.500 0.000
Zr: 0.000 0.000 0.000
W: 0.500 0.500 0.500
V: 0.000 0.000 0.500
V: 0.500 0.000 0.000

Computed properties:
- space group = No. 123
- final energy (eV per atom) = -6.261

***

# 2
The following is a DFT calculation (GGA-PBE) of crystalline NaSr5Hg at its relaxed geometry.

a b c (Å): 7.906 7.906 13.389
angles (deg): 72.51 72.51 61.90
Positions (direct):
Na: 0.453 0.547 0.250
Na: 0.547 0.453 0.750
Sr: 0.954 0.609 0.134
Sr: 0.210 0.534 0.540
Sr: 0.609 0.954 0.634
Sr: 0.958 0.042 0.250
Sr: 0.466 0.790 0.960
Sr: 0.534 0.210 0.040
Sr: 0.042 0.958 0.750
Sr: 0.391 0.046 0.366
Sr: 0.790 0.466 0.460
Sr: 0.046 0.391 0.866
Hg: 0.000 0.000 0.000
Hg: 0.000 0.000 0.500

Computed properties:
- space group = No. 15
- final energy (eV per atom) = -1.509

***

# 3
The following is a DFT calculation (GGA-PBE) of crystalline Pm4In2Ru at its relaxed geometry.

a b c (Å): 5.348 5.348 8.781
angles (deg): 107.73 107.73 90.00
Positions (direct):
Ru: 0.000 0.000 0.000
In: 0.627 0.627 0.253
In: 0.373 0.373 0.747
Pm: 0.824 0.824 0.647
Pm: 0.176 0.176 0.353
Pm: 0.000 0.500 0.000
Pm: 0.500 0.000 0.000

Computed properties:
- excess energy over the best structure of this formula in the dataset (eV per atom) = 0.206
- space group = No. 139

***

# 4
The following is a DFT calculation (GGA-PBE) of crystalline La7Tb3Tm at its relaxed geometry.

a b c (Å): 10.400 10.247 12.981
angles (deg): 112.86 61.01 139.85
Positions (direct):
La: 0.133 0.806 0.238
La: 0.846 0.754 0.735
La: 0.176 0.587 0.550
La: 0.058 0.408 0.083
La: 0.620 0.911 0.982
La: 0.704 0.046 0.491
La: 0.297 0.328 0.775
La: 0.718 0.699 0.249
La: 0.424 0.086 0.999
La: 0.308 0.998 0.497
La: 0.954 0.590 0.945
La: 0.810 0.459 0.460
La: 0.183 0.253 0.270
La: 0.905 0.218 0.743
Tb: 0.441 0.752 0.743
Tb: 0.020 0.005 0.002
Tb: 0.897 0.898 0.500
Tb: 0.512 0.847 0.251
Tb: 0.500 0.168 0.744
Tb: 0.591 0.273 0.239
Tm: 0.515 0.502 0.005
Tm: 0.389 0.411 0.501

Computed properties:
- excess energy over the best structure of this formula in the dataset (eV per atom) = 0.000
- space group = No. 1

***

# 5
The following is a DFT calculation (GGA-PBE) of crystalline AcCePrSe3 at its relaxed geometry.

a b c (Å): 4.285 8.403 10.637
angles (deg): 105.06 90.00 90.00
Positions (direct):
Ac: 0.750 0.810 0.790
Ac: 0.250 0.190 0.210
Ce: 0.250 0.164 0.618
Ce: 0.750 0.836 0.382
Pr: 0.250 0.659 0.101
Pr: 0.750 0.341 0.899
Se: 0.250 0.791 0.561
Se: 0.750 0.909 0.111
Se: 0.750 0.470 0.197
Se: 0.750 0.209 0.439
Se: 0.250 0.530 0.803
Se: 0.250 0.091 0.889

Computed properties:
- space group = No. 11
- final energy (eV per atom) = -5.854

***

# 6
The following is a DFT calculation (GGA-PBE) of crystalline NdZn4Co at its relaxed geometry.

a b c (Å): 4.051 6.823 7.544
angles (deg): 90.00 90.00 90.00
Positions (direct):
Nd: 0.000 0.606 0.750
Nd: 0.000 0.394 0.250
Zn: 0.000 0.000 0.500
Zn: 0.000 0.000 0.000
Zn: 0.500 0.961 0.750
Zn: 0.500 0.039 0.250
Zn: 0.500 0.703 0.062
Zn: 0.500 0.297 0.938
Zn: 0.500 0.703 0.438
Zn: 0.500 0.297 0.562
Co: 0.000 0.211 0.750
Co: 0.000 0.789 0.250

Computed properties:
- excess energy over the best structure of this formula in the dataset (eV per atom) = 0.000
- space group = No. 51

***

# 7
The following is a DFT calculation (GGA-PBE) of crystalline ErRu2W at its relaxed geometry.

a b c (Å): 3.116 3.116 7.095
angles (deg): 90.00 90.00 90.00
Positions (direct):
Ru: 0.000 0.000 0.786
Ru: 0.000 0.000 0.214
W: 0.500 0.500 0.000
Er: 0.500 0.500 0.500

Computed properties:
- excess energy over the best structure of this formula in the dataset (eV per atom) = 0.000
- space group = No. 123

***

# 8
The following is a DFT calculation (GGA-PBE) of crystalline SmMnPt3 at its relaxed geometry.

a b c (Å): 5.567 6.315 6.315
angles (deg): 120.00 90.00 90.00
Positions (direct):
Sm: 0.750 0.333 0.667
Sm: 0.250 0.667 0.333
Mn: 0.500 0.000 0.000
Mn: 0.000 0.000 0.000
Pt: 0.750 0.807 0.614
Pt: 0.250 0.193 0.807
Pt: 0.750 0.386 0.193
Pt: 0.250 0.614 0.807
Pt: 0.250 0.193 0.386
Pt: 0.750 0.807 0.193

Computed properties:
- space group = No. 194
- final energy (eV per atom) = -7.033

***

# 9
The following is a DFT calculation (GGA-PBE) of crystalline Ce3InBi3 at its relaxed geometry.

a b c (Å): 6.197 9.337 9.337
angles (deg): 120.00 90.00 90.00
Positions (direct):
Ce: 0.750 0.667 0.577
Ce: 0.750 0.423 0.091
Ce: 0.750 0.909 0.333
Ce: 0.250 0.333 0.423
Ce: 0.250 0.577 0.909
Ce: 0.250 0.091 0.667
In: 0.250 0.667 0.333
In: 0.750 0.333 0.667
Bi: 0.250 0.753 0.692
Bi: 0.250 0.308 0.060
Bi: 0.250 0.940 0.247
Bi: 0.750 0.247 0.308
Bi: 0.750 0.692 0.940
Bi: 0.750 0.060 0.753

Computed properties:
- space group = No. 176
- final energy (eV per atom) = -5.036

***

# 10
The following is a DFT calculation (GGA-PBE) of crystalline Be2BIrSe at its relaxed geometry.

a b c (Å): 3.949 4.866 3.949
angles (deg): 90.00 90.00 90.00
Positions (direct):
Be: 0.000 0.000 0.500
Be: 0.500 0.000 0.000
B: 0.500 0.500 0.500
Ir: 0.000 0.500 0.000
Se: 0.000 0.000 0.000

Computed properties:
- space group = No. 123
- final energy (eV per atom) = -3.704

***

# 11
The following is a DFT calculation (GGA-PBE) of crystalline KGa2PtAu at its relaxed geometry.

a b c (Å): 4.807 4.807 5.471
angles (deg): 90.00 90.00 90.00
Positions (direct):
K: 0.500 0.500 0.500
Au: 0.000 0.000 0.500
Ga: 0.000 0.500 0.000
Ga: 0.500 0.000 0.000
Pt: 0.000 0.000 0.000

Computed properties:
- space group = No. 123
- final energy (eV per atom) = -3.627

***

# 12
The following is a DFT calculation (GGA-PBE) of crystalline Gd2AgS at its relaxed geometry.

a b c (Å): 3.681 3.681 9.609
angles (deg): 78.96 78.96 60.00
Positions (direct):
S: 0.500 0.500 0.500
Gd: 0.107 0.107 0.679
Gd: 0.893 0.893 0.321
Ag: 0.000 0.000 0.000

Computed properties:
- space group = No. 166
- final energy (eV per atom) = -9.421